[1]
Tb3In2: relaxed, PBE.

Lattice parameters (Å, degrees): 11.4818 11.4818 11.4818 162.23 162.23 25.24
Closest atoms and distances in Å follow each position.
Fractional positions:
Tb 0.0000 0.0000 0.0000  8 In 3.30, 4 Tb 3.55
Tb 0.1914 0.1914 0.0000  4 In 3.30, 8 Tb 3.55-3.63
Tb 0.8086 0.8086 0.0000  4 In 3.30, 8 Tb 3.55-3.63
In 0.4042 0.4042 0.0000  8 Tb 3.30, 4 In 3.55
In 0.5958 0.5958 0.0000  8 Tb 3.30, 4 In 3.55

Computed properties:
* energy of formation: -377.1 meV per atom
* density of states at the Fermi level: 4.8 states/eV/f.u.



[2]
SrGa4Ir2Pt: relaxed, PBE.

Lattice parameters (Å, degrees): 9.5957 9.5957 9.5957 25.91 25.91 25.91
Closest atoms and distances in Å follow each position.
Fractional positions:
Sr 0.0000 0.0000 0.0000  6 Ga 3.18
Ga 0.1302 0.1302 0.1302  4 Ir 2.58-2.72, 3 Pt 2.68
Ga 0.4047 0.4047 0.4047  1 Pt 2.65, 3 Ir 2.66
Ga 0.5953 0.5953 0.5953  1 Pt 2.65, 3 Ir 2.66
Ga 0.8698 0.8698 0.8698  4 Ir 2.58-2.72, 3 Pt 2.68
Ir 0.2281 0.2281 0.2281  7 Ga 2.58-2.72
Ir 0.7719 0.7719 0.7719  7 Ga 2.58-2.72
Pt 0.5000 0.5000 0.5000  8 Ga 2.65-2.68

Computed properties:
* energy of formation: -485.2 meV per atom
* density of states at the Fermi level: 3.7 states/eV/f.u.



[3]
Pr2BeInPd6: relaxed, PBE.

Lattice parameters (Å, degrees): 5.8475 5.8847 7.3510 68.68 67.86 60.47
Closest atoms and distances in Å follow each position.
Fractional positions:
Pr 0.2417 0.2396 0.2070  9 Pd 2.96-3.31
Pr 0.7583 0.7604 0.7930  9 Pd 2.96-3.31
Be 0.5000 0.5000 0.5000  6 Pd 2.15-2.18
In 0.0000 0.0000 0.0000  6 Pd 2.68-2.74
Pd 0.1768 0.6948 0.3431  1 Be 2.18
Pd 0.2807 0.2855 0.7413  1 Be 2.15
Pd 0.3047 0.8354 0.6469  1 Be 2.18
Pd 0.6953 0.1646 0.3531  1 Be 2.18
Pd 0.7193 0.7145 0.2587  1 Be 2.15
Pd 0.8232 0.3052 0.6569  1 Be 2.18

Computed properties:
* energy of formation: -609.7 meV per atom
* density of states at the Fermi level: 3.1 states/eV/f.u.



[4]
K2NpO5: relaxed, PBE.

Lattice parameters (Å, degrees): 6.1589 6.1589 4.3044 90.00 90.00 90.00
Closest atoms and distances in Å follow each position.
Fractional positions:
K 0.0000 0.5000 0.0000  10 O 3.07-3.08
K 0.5000 0.0000 0.0000  10 O 3.07-3.08
Np 0.0000 0.0000 0.5000  4 O 1.91
O 0.0000 0.0000 0.0000  2 Np 2.15
O 0.2193 0.2193 0.5000  1 Np 1.91
O 0.2193 0.7807 0.5000  1 Np 1.91
O 0.7807 0.2193 0.5000  1 Np 1.91
O 0.7807 0.7807 0.5000  1 Np 1.91

Computed properties:
* density of states at the Fermi level: 7.0 states/eV/f.u.
* uncorrected energy: -56.701 eV per cell



Which of these has the lowest density of states at the Fermi level?
Pr2BeInPd6